Material: LiCrPO4
Method: DFT, GGA+U
State: relaxed

Crystal system: triclinic
Space group: P1
E above lowest polymorph in meV per atom: 58

Unit cell a=5.3645 b=8.8496 c=7.0243 alpha=89.87 beta=80.84 gamma=89.80
Last column: nearest neighbours and their distance in Å.
Sites, in units of the cell vectors:
Li  0.0911  0.3413  0.6910  3 O 2.03-2.16
Li  0.5910  0.8414  0.6910  3 O 2.03-2.16
Li  0.5408  0.2032  0.2463  3 O 1.96-2.17
Li  0.0408  0.7031  0.2463  3 O 1.96-2.17
Cr  0.9445  0.0099  0.9592  4 O 2.04-2.14
Cr  0.4445  0.5099  0.9592  4 O 2.04-2.14
Cr  0.4810  0.5016  0.4720  4 O 2.01-2.13
Cr  0.9810  0.0016  0.4720  4 O 2.01-2.13
P  0.0167  0.3011  0.2521  4 O 1.52-1.60
P  0.5166  0.8011  0.2521  4 O 1.52-1.60
P  0.4891  0.1892  0.7767  4 O 1.53-1.59
P  0.9891  0.6892  0.7767  4 O 1.53-1.59
O  0.4865  0.3626  0.7149  1 P 1.59
O  0.9865  0.8626  0.7149  1 P 1.59
O  0.9463  0.1290  0.2199  1 P 1.60
O  0.4463  0.6289  0.2199  1 P 1.60
O  0.1939  0.2948  0.4064  1 P 1.55
O  0.6938  0.7948  0.4064  1 P 1.55
O  0.6475  0.0912  0.6188  1 P 1.55
O  0.1475  0.5912  0.6188  1 P 1.55
O  0.1459  0.3755  0.0667  1 P 1.52
O  0.6459  0.8755  0.0667  1 P 1.52
O  0.5994  0.1843  0.9642  1 P 1.53
O  0.0994  0.6842  0.9642  1 P 1.53
O  0.7599  0.3780  0.3205  1 P 1.54
O  0.2598  0.8780  0.3205  1 P 1.54
O  0.2094  0.1384  0.7914  1 P 1.56
O  0.7094  0.6384  0.7913  1 P 1.56